1.
Material: LaNbAg2
Method: DFT, PBE
State: relaxed

Unit cell a=7.1983 b=7.1983 c=7.1983 alpha=90.00 beta=90.00 gamma=90.00
Closest atoms and distances in Å follow each position.
Space group Fm-3m (No. 225)
Unique sites:
1 La 0.0000 0.0000 0.0000 (multiplicity 4)  8 Ag 3.12
2 Nb 0.0000 0.0000 0.5000 (multiplicity 4)  8 Ag 3.12
3 Ag 0.2500 0.2500 0.2500 (multiplicity 8)  4 Nb 3.12, 4 La 3.12

Energy above the lowest structure with this stoichiometry (kJ/mol of formula units): 0
DOS(E_F) (states/eV/f.u.): 4.8
Uncorrected energy (eV/atom): -4.87

=====

2.
Material: La2Nb2Ag
Method: DFT, PBE
State: relaxed

Unit cell a=7.3690 b=7.3690 c=4.7175 alpha=90.00 beta=90.00 gamma=90.00
Closest atoms and distances in Å follow each position.
Space group P4/mbm (No. 127)
Unique sites:
1 La 0.1808 0.3192 0.0000 (multiplicity 4)  6 Nb 3.13-3.28
2 Nb 0.1222 0.6222 0.5000 (multiplicity 4)  1 Nb 2.55
3 Ag 0.0000 0.0000 0.5000 (multiplicity 2)  4 Nb 2.93

DOS(E_F) (states/eV/f.u.): 8.7
Uncorrected energy (eV/atom): -6.21

=====

3.
Material: LaNbAg2
Method: DFT, PBE
State: relaxed

Unit cell a=8.1535 b=8.1535 c=5.7273 alpha=90.00 beta=90.00 gamma=90.00
Closest atoms and distances in Å follow each position.
Space group I-42d (No. 122)
Unique sites:
1 La 0.0000 0.0000 0.0000 (multiplicity 4)  2 Nb 2.86, 4 Ag 3.19
2 Nb 0.0000 0.0000 0.5000 (multiplicity 4)  4 Ag 2.77, 2 La 2.86
3 Ag 0.2120 0.7500 0.6250 (multiplicity 8)  2 Nb 2.77, 2 Ag 2.93

Energy above the lowest structure with this stoichiometry (kJ/mol of formula units): 56
DOS(E_F) (states/eV/f.u.): 6.1
Uncorrected energy (eV/atom): -4.72

=====

4.
Material: LaNb2NiAg
Method: DFT, PBE
State: relaxed

Unit cell a=4.9661 b=4.9661 c=5.6642 alpha=90.00 beta=90.00 gamma=90.00
Closest atoms and distances in Å follow each position.
Space group P4/mmm (No. 123)
Unique sites:
1 La 0.0000 0.0000 0.0000 (multiplicity 1)  2 Ag 2.83
2 Nb 0.0000 0.5000 0.5000 (multiplicity 2)  2 Ag 2.48
3 Ni 0.5000 0.5000 0.0000 (multiplicity 1)  4 La 3.51, 8 Nb 3.77
4 Ag 0.0000 0.0000 0.5000 (multiplicity 1)  4 Nb 2.48

DOS(E_F) (states/eV/f.u.): 7.1
Uncorrected energy (eV/atom): -5.08

=====

Number 1: calculated formation energy 308 meV per atom. Number 2: calculated formation energy 359 meV per atom. Number 3: calculated formation energy 454 meV per atom. Number 4: calculated formation energy 1658 meV per atom.